Entry 1:
Computed, not measured: a relaxed Be2AsPbO8 crystal at the PBE level of DFT.

Calculated values
The total energy is -66.76 eV per cell. For the total moment, the calculation gives 0.42 μB/atom. The uncorrected formation energy comes out at -940 meV/atom.

Unit cell a=4.6635 b=4.6635 c=7.1572 alpha=90.00 beta=90.00 gamma=120.00
With the nearest neighbours (Å) after each atom.
Fractional positions:
Be  0.6667  0.3333  0.2802  4 O 1.60-1.66
Pb  0.0000  0.0000  0.0000  12 O 2.71-2.84
O  0.3198  0.2968  0.3422  1 Be 1.60
O  0.0230  0.3198  0.6578  1 Be 1.60
O  0.2968  0.9770  0.6578  1 Be 1.60
O  0.6802  0.7032  0.6578  1 Be 1.60
O  0.9770  0.6802  0.3422  1 Be 1.60
Be  0.3333  0.6667  0.7198  4 O 1.60-1.66
O  0.3333  0.6667  0.9513  1 Be 1.66
O  0.6667  0.3333  0.0487  1 Be 1.66
As  0.0000  0.0000  0.5000  6 O 1.83
O  0.7032  0.0230  0.3422  1 Be 1.60

---

Entry 2:
Computed, not measured: a relaxed PaTlCl4 crystal at the PBE level of DFT.

Calculated values
The total energy is -27.14 eV per cell. For the total moment, the calculation gives 0.33 μB/atom. The uncorrected formation energy comes out at -1316 meV/atom.

Unit cell a=8.2747 b=8.2747 c=6.8242 alpha=127.32 beta=127.32 gamma=90.00
With the nearest neighbours (Å) after each atom.
Fractional positions:
Pa  0.5000  0.5000  0.0000  4 Cl 2.61
Cl  0.4507  0.4884  0.5751  1 Pa 2.61
Cl  0.9133  0.5493  0.4249  1 Pa 2.61
Tl  0.7500  0.2500  0.5000  4 Cl 3.26
Cl  0.5116  0.8756  0.4249  1 Pa 2.61
Cl  0.1244  0.0867  0.5751  1 Pa 2.61

---

Entry 3:
Computed, not measured: a relaxed Yb3Sn13Ir4 crystal at the PBE level of DFT.

Calculated values
The total energy is -202.11 eV per cell. For the total moment, the calculation gives 0.03 μB/atom. The formation energy is -0.4498 eV per atom.

Unit cell a=9.7977 b=9.7977 c=9.7977 alpha=90.00 beta=90.00 gamma=90.00
With the nearest neighbours (Å) after each atom.
Fractional positions:
Yb  0.0000  0.7500  0.5000  12 Sn 3.44-3.46, 4 Ir 3.46
Sn  0.0000  0.6939  0.1518  2 Ir 2.69, 1 Sn 2.98
Ir  0.2500  0.7500  0.7500  6 Sn 2.69
Ir  0.7500  0.7500  0.2500  6 Sn 2.69
Sn  0.1939  0.5000  0.3482  2 Ir 2.69, 1 Sn 2.98
Ir  0.7500  0.2500  0.7500  6 Sn 2.69
Sn  0.5000  0.5000  0.5000  12 Sn 3.35
Ir  0.2500  0.2500  0.2500  6 Sn 2.69
Sn  0.3061  0.8482  0.0000  2 Ir 2.69, 1 Sn 2.98
Sn  0.0000  0.3061  0.8482  2 Ir 2.69, 1 Sn 2.98
Ir  0.7500  0.2500  0.2500  6 Sn 2.69
Ir  0.7500  0.7500  0.7500  6 Sn 2.69
Sn  0.1518  0.0000  0.6939  2 Ir 2.69, 1 Sn 2.98
Sn  0.3061  0.1518  0.0000  2 Ir 2.69, 1 Sn 2.98
Sn  0.5000  0.6518  0.1939  2 Ir 2.69, 1 Sn 2.98
Sn  0.6518  0.8061  0.5000  2 Ir 2.69, 1 Sn 2.98
Sn  0.6939  0.8482  0.0000  2 Ir 2.69, 1 Sn 2.98
Yb  0.7500  0.5000  0.0000  12 Sn 3.44-3.46, 4 Ir 3.46
Sn  0.6939  0.1518  0.0000  2 Ir 2.69, 1 Sn 2.98
Sn  0.0000  0.6939  0.8482  2 Ir 2.69, 1 Sn 2.98
Sn  0.8482  0.0000  0.3061  2 Ir 2.69, 1 Sn 2.98
Sn  0.8482  0.0000  0.6939  2 Ir 2.69, 1 Sn 2.98
Sn  0.3482  0.1939  0.5000  2 Ir 2.69, 1 Sn 2.98
Sn  0.1518  0.0000  0.3061  2 Ir 2.69, 1 Sn 2.98
Ir  0.2500  0.2500  0.7500  6 Sn 2.69
Yb  0.5000  0.0000  0.2500  12 Sn 3.44-3.46, 4 Ir 3.46
Yb  0.5000  0.0000  0.7500  12 Sn 3.44-3.46, 4 Ir 3.46
Sn  0.0000  0.3061  0.1518  2 Ir 2.69, 1 Sn 2.98
Yb  0.0000  0.2500  0.5000  12 Sn 3.44-3.46, 4 Ir 3.46
Sn  0.3482  0.8061  0.5000  2 Ir 2.69, 1 Sn 2.98
Ir  0.2500  0.7500  0.2500  6 Sn 2.69
Sn  0.0000  0.0000  0.0000  12 Sn 3.35
Sn  0.5000  0.6518  0.8061  2 Ir 2.69, 1 Sn 2.98
Sn  0.5000  0.3482  0.8061  2 Ir 2.69, 1 Sn 2.98
Sn  0.6518  0.1939  0.5000  2 Ir 2.69, 1 Sn 2.98
Sn  0.8061  0.5000  0.6518  2 Ir 2.69, 1 Sn 2.98
Sn  0.8061  0.5000  0.3482  2 Ir 2.69, 1 Sn 2.98
Yb  0.2500  0.5000  0.0000  12 Sn 3.44-3.46, 4 Ir 3.46
Sn  0.5000  0.3482  0.1939  2 Ir 2.69, 1 Sn 2.98
Sn  0.1939  0.5000  0.6518  2 Ir 2.69, 1 Sn 2.98